Material: NaTeOs
Method: DFT, PBE
State: relaxed

Summary:
The volume is 63.2 Å³/f.u. The calculation puts the relative energy among the computed polymorphs at 0.0 meV/atom.

```
data_NaTeOs
_chemical_formula_sum 'Na4 Te4 Os4'
_cell_length_a 6.324
_cell_length_b 6.324
_cell_length_c 6.324
_cell_angle_alpha 90.00
_cell_angle_beta 90.00
_cell_angle_gamma 90.00
_space_group_name_H-M_alt 'F -4 3 m'
_space_group_IT_number 216
_space_group_name_Hall 'F -4 2 3'
loop_
_atom_site_label
_atom_site_type_symbol
_atom_site_fract_x
_atom_site_fract_y
_atom_site_fract_z
_atom_site_occupancy
Na1 Na 0.000 0.000 0.000 1
Te1 Te 0.000 0.000 0.500 1
Os1 Os 0.250 0.250 0.250 1
```

---

Material: CsTlPd
Method: DFT, PBE
State: relaxed

Summary:
The volume is 123.9 Å³/f.u. The calculation puts the relative energy among the computed polymorphs at 477.2 meV/atom.

```
data_CsTlPd
_chemical_formula_sum 'Cs4 Tl4 Pd4'
_cell_length_a 7.913
_cell_length_b 7.913
_cell_length_c 7.913
_cell_angle_alpha 90.00
_cell_angle_beta 90.00
_cell_angle_gamma 90.00
_space_group_name_H-M_alt 'F -4 3 m'
_space_group_IT_number 216
_space_group_name_Hall 'F -4 2 3'
loop_
_atom_site_label
_atom_site_type_symbol
_atom_site_fract_x
_atom_site_fract_y
_atom_site_fract_z
_atom_site_occupancy
Cs1 Cs 0.000 0.000 0.000 1
Tl1 Tl 0.250 0.250 0.250 1
Pd1 Pd 0.250 0.250 0.750 1
```

---

Material: TlReAgS3
Method: DFT, PBE
State: relaxed

Summary:
The calculation puts the uncorrected energy at -5.1024 eV per atom. The volume is 129.1 Å³/f.u.

```
data_TlReAgS3
_chemical_formula_sum 'Tl4 Re4 Ag4 S12'
_cell_length_a 3.288
_cell_length_b 16.881
_cell_length_c 9.301
_cell_angle_alpha 90.00
_cell_angle_beta 90.00
_cell_angle_gamma 90.00
_space_group_name_H-M_alt 'C m c m'
_space_group_IT_number 63
_space_group_name_Hall '-C 2c 2'
loop_
_atom_site_label
_atom_site_type_symbol
_atom_site_fract_x
_atom_site_fract_y
_atom_site_fract_z
_atom_site_occupancy
Tl1 Tl 0.000 0.175 0.250 1
Re1 Re 0.000 0.500 0.000 1
Ag1 Ag 0.000 0.182 0.750 1
S1 S 0.000 0.102 0.530 1
S2 S 0.000 0.466 0.750 1
```

---

Material: ErTlAs
Method: DFT, PBE
State: relaxed

Summary:
The calculation puts the uncorrected energy at -3.8643 eV per atom. The volume is 85.6 Å³/f.u.

```
data_ErTlAs
_chemical_formula_sum 'Er4 Tl4 As4'
_cell_length_a 6.997
_cell_length_b 6.997
_cell_length_c 6.997
_cell_angle_alpha 90.00
_cell_angle_beta 90.00
_cell_angle_gamma 90.00
_space_group_name_H-M_alt 'F -4 3 m'
_space_group_IT_number 216
_space_group_name_Hall 'F -4 2 3'
loop_
_atom_site_label
_atom_site_type_symbol
_atom_site_fract_x
_atom_site_fract_y
_atom_site_fract_z
_atom_site_occupancy
Er1 Er 0.000 0.000 0.000 1
Tl1 Tl 0.250 0.250 0.750 1
As1 As 0.000 0.000 0.500 1
```